Record 1
Compound: Sc4CdPt2Rh
Source: the Alexandria database
Functional: PBE
Structure: optimized geometry

Lattice parameters (Å, degrees): 4.703 4.703 8.216 73.37 73.37 60.00
Fractional coordinates of all 8 atoms:
Pt  0.750  0.750  0.750
Cd  0.000  0.000  0.000
Pt  0.250  0.250  0.250
Sc  0.382  0.382  0.855
Sc  0.618  0.618  0.145
Sc  0.870  0.870  0.389
Sc  0.130  0.130  0.611
Rh  0.500  0.500  0.500

Summary:
* ΔH_f (0 K): -0.94 eV/atom


Record 2
Compound: HfTaPd2O
Source: the Alexandria database
Functional: PBE
Structure: optimized geometry

Lattice parameters (Å, degrees): 4.755 5.170 4.755 90.00 90.00 90.00
Fractional coordinates of all 5 atoms:
Pd  0.000  0.000  0.500
Pd  0.500  0.000  0.000
Hf  0.000  0.000  0.000
O  0.500  0.500  0.500
Ta  0.000  0.500  0.000

Summary:
* raw formation energy: 1.71 eV/atom


Record 3
Compound: Ca2CeDyAs4
Source: the Alexandria database
Functional: PBE
Structure: optimized geometry

Lattice parameters (Å, degrees): 4.223 7.296 7.270 109.69 90.00 90.00
Fractional coordinates of all 8 atoms:
As  0.000  0.255  0.764
As  0.500  0.245  0.235
As  0.500  0.755  0.765
Dy  0.500  0.500  0.000
Ca  0.000  0.500  0.500
Ce  0.000  0.000  0.000
Ca  0.500  0.000  0.500
As  0.000  0.745  0.236

Summary:
* ΔH_f (0 K): -1.25 eV/atom


Record 4
Compound: Cs3CrTc
Source: the Alexandria database
Functional: PBE
Structure: optimized geometry

Lattice parameters (Å, degrees): 6.032 6.032 6.032 90.00 90.00 90.00
Each line ends with the local moment (μB).
Fractional coordinates of all 5 atoms:
Cs  0.500  0.000  0.000  0.00
Cs  0.000  0.500  0.000  -0.01
Cr  0.500  0.500  0.500  4.26
Tc  0.000  0.000  0.000  -0.38
Cs  0.000  0.000  0.500  0.00

Summary:
* ΔH_f (0 K): 1.60 eV/atom


Number 1: uncorrected energy -53.18 eV/f.u.. Number 2: uncorrected energy -28.62 eV/f.u.. Number 3: uncorrected energy -43.10 eV/f.u.. Number 4: uncorrected energy -14.56 eV/f.u..